First-principles (meta-GGA SCAN) data for HoAu2 at its PBEsol-relaxed geometry, as listed in Alexandria via LeMat-Bulk.

Summary:
Volume: 59 Å³/f.u.
DFT total energy: -63.5131 eV per atom

Lattice parameters (Å, degrees): 3.659 3.659 8.878 90.00 90.00 90.00
Fractional coordinates of all 6 atoms:
Ho 0.000 0.000 0.000
Ho 0.500 0.500 0.500
Au 0.000 0.000 0.334
Au 0.000 0.000 0.666
Au 0.500 0.500 0.166
Au 0.500 0.500 0.834

First-principles (meta-GGA SCAN) data for HoAu3 at its PBEsol-relaxed geometry, as listed in Alexandria via LeMat-Bulk.

Summary:
Volume: 75 Å³/f.u.
DFT total energy: -64.9895 eV per atom

Lattice parameters (Å, degrees): 4.950 6.010 5.064 90.00 90.00 90.00
Fractional coordinates of all 8 atoms:
Ho 0.250 0.250 0.156
Ho 0.750 0.750 0.844
Au 0.250 0.506 0.661
Au 0.250 0.750 0.167
Au 0.250 0.994 0.661
Au 0.750 0.006 0.339
Au 0.750 0.250 0.833
Au 0.750 0.494 0.339

First-principles (meta-GGA SCAN) data for HoAu6 at its PBEsol-relaxed geometry, as listed in Alexandria via LeMat-Bulk.

Summary:
Volume: 128 Å³/f.u.
DFT total energy: -66.7816 eV per atom

Lattice parameters (Å, degrees): 10.261 10.261 9.710 90.00 90.00 90.00
Fractional coordinates of all 56 atoms:
Ho 0.074 0.074 0.212
Ho 0.074 0.426 0.712
Ho 0.426 0.074 0.712
Ho 0.426 0.426 0.212
Ho 0.574 0.574 0.788
Ho 0.574 0.926 0.288
Ho 0.926 0.574 0.288
Ho 0.926 0.926 0.788
Au 0.000 0.000 0.500
Au 0.000 0.500 0.000
Au 0.014 0.680 0.578
Au 0.014 0.820 0.078
Au 0.122 0.699 0.854
Au 0.122 0.801 0.354
Au 0.149 0.149 0.679
Au 0.149 0.351 0.179
Au 0.180 0.514 0.422
Au 0.180 0.986 0.922
Au 0.199 0.622 0.146
Au 0.199 0.878 0.646
Au 0.250 0.250 0.432
Au 0.250 0.250 0.932
Au 0.301 0.622 0.646
Au 0.301 0.878 0.146
Au 0.320 0.514 0.922
Au 0.320 0.986 0.422
Au 0.351 0.149 0.179
Au 0.351 0.351 0.679
Au 0.378 0.699 0.354
Au 0.378 0.801 0.854
Au 0.486 0.680 0.078
Au 0.486 0.820 0.578
Au 0.500 0.000 0.000
Au 0.500 0.500 0.500
Au 0.514 0.180 0.422
Au 0.514 0.320 0.922
Au 0.622 0.199 0.146
Au 0.622 0.301 0.646
Au 0.649 0.649 0.321
Au 0.649 0.851 0.821
Au 0.680 0.014 0.578
Au 0.680 0.486 0.078
Au 0.699 0.122 0.854
Au 0.699 0.378 0.354
Au 0.750 0.750 0.068
Au 0.750 0.750 0.568
Au 0.801 0.122 0.354
Au 0.801 0.378 0.854
Au 0.820 0.014 0.078
Au 0.820 0.486 0.578
Au 0.851 0.649 0.821
Au 0.851 0.851 0.321
Au 0.878 0.199 0.646
Au 0.878 0.301 0.146
Au 0.986 0.180 0.922
Au 0.986 0.320 0.422

First-principles (meta-GGA SCAN) data for HoAu4 at its PBEsol-relaxed geometry, as listed in Alexandria via LeMat-Bulk.

Summary:
Volume: 91 Å³/f.u.
DFT total energy: -65.8443 eV per atom

Lattice parameters (Å, degrees): 6.650 6.650 4.132 90.00 90.00 90.00
Fractional coordinates of all 10 atoms:
Ho 0.000 0.000 0.000
Ho 0.500 0.500 0.500
Au 0.099 0.302 0.500
Au 0.198 0.599 0.000
Au 0.302 0.901 0.500
Au 0.401 0.198 0.000
Au 0.599 0.802 0.000
Au 0.698 0.099 0.500
Au 0.802 0.401 0.000
Au 0.901 0.698 0.500

First-principles (meta-GGA SCAN) data for HoInAu at its PBEsol-relaxed geometry, as listed in Alexandria via LeMat-Bulk.

Summary:
Volume: 65 Å³/f.u.
DFT total energy: -51.4845 eV per atom

Lattice parameters (Å, degrees): 7.658 7.658 3.867 90.00 90.00 120.00
Fractional coordinates of all 9 atoms:
Ho 0.000 0.597 0.000
Ho 0.403 0.403 0.000
Ho 0.597 0.000 0.000
In 0.000 0.263 0.500
In 0.263 0.000 0.500
In 0.737 0.737 0.500
Au 0.000 0.000 0.000
Au 0.333 0.667 0.500
Au 0.667 0.333 0.500

First-principles (meta-GGA SCAN) data for HoLuAu2 at its PBEsol-relaxed geometry, as listed in Alexandria via LeMat-Bulk.

Summary:
Volume: 85 Å³/f.u.
DFT total energy: -61.7898 eV per atom

Lattice parameters (Å, degrees): 6.988 6.988 6.988 90.00 90.00 90.00
Fractional coordinates of all 16 atoms:
Ho 0.000 0.000 0.000
Ho 0.000 0.500 0.500
Ho 0.500 0.000 0.500
Ho 0.500 0.500 0.000
Lu 0.000 0.000 0.500
Lu 0.000 0.500 0.000
Lu 0.500 0.000 0.000
Lu 0.500 0.500 0.500
Au 0.250 0.250 0.250
Au 0.250 0.250 0.750
Au 0.250 0.750 0.250
Au 0.250 0.750 0.750
Au 0.750 0.250 0.250
Au 0.750 0.250 0.750
Au 0.750 0.750 0.250
Au 0.750 0.750 0.750

First-principles (meta-GGA SCAN) data for HoNi4Au at its PBEsol-relaxed geometry, as listed in Alexandria via LeMat-Bulk.

Summary:
Volume: 80 Å³/f.u.
DFT total energy: -30.8758 eV per atom

Lattice parameters (Å, degrees): 4.837 4.837 4.837 60.00 60.00 60.00
Fractional coordinates of all 6 atoms:
Ho 0.000 0.000 0.000
Ni 0.127 0.624 0.624
Ni 0.624 0.127 0.624
Ni 0.624 0.624 0.127
Ni 0.624 0.624 0.624
Au 0.250 0.250 0.250

First-principles (meta-GGA SCAN) data for HoPbAu at its PBEsol-relaxed geometry, as listed in Alexandria via LeMat-Bulk.

Summary:
Volume: 75 Å³/f.u.
DFT total energy: -65.5961 eV per atom

Lattice parameters (Å, degrees): 6.695 6.695 6.695 90.00 90.00 90.00
Fractional coordinates of all 12 atoms:
Ho 0.000 0.000 0.000
Ho 0.000 0.500 0.500
Ho 0.500 0.000 0.500
Ho 0.500 0.500 0.000
Pb 0.000 0.000 0.500
Pb 0.000 0.500 0.000
Pb 0.500 0.000 0.000
Pb 0.500 0.500 0.500
Au 0.250 0.250 0.250
Au 0.250 0.750 0.750
Au 0.750 0.250 0.750
Au 0.750 0.750 0.250

First-principles (meta-GGA SCAN) data for Ho2RuAu at its PBEsol-relaxed geometry, as listed in Alexandria via LeMat-Bulk.

Summary:
Volume: 80 Å³/f.u.
DFT total energy: -51.2632 eV per atom

Lattice parameters (Å, degrees): 6.843 6.843 6.843 90.00 90.00 90.00
Fractional coordinates of all 16 atoms:
Ho 0.250 0.250 0.250
Ho 0.250 0.250 0.750
Ho 0.250 0.750 0.250
Ho 0.250 0.750 0.750
Ho 0.750 0.250 0.250
Ho 0.750 0.250 0.750
Ho 0.750 0.750 0.250
Ho 0.750 0.750 0.750
Ru 0.000 0.000 0.000
Ru 0.000 0.500 0.500
Ru 0.500 0.000 0.500
Ru 0.500 0.500 0.000
Au 0.000 0.000 0.500
Au 0.000 0.500 0.000
Au 0.500 0.000 0.000
Au 0.500 0.500 0.500

First-principles (meta-GGA SCAN) data for Ho3Sb4Au3 at its PBEsol-relaxed geometry, as listed in Alexandria via LeMat-Bulk.

Summary:
Volume: 232 Å³/f.u.
Formation energy from raw total energies: -1.000 eV per atom
DFT total energy: -51.3473 eV per atom

Lattice parameters (Å, degrees): 8.446 8.446 8.446 109.47 109.47 109.47
Fractional coordinates of all 20 atoms:
Ho 0.125 0.875 0.250
Ho 0.250 0.125 0.875
Ho 0.375 0.625 0.750
Ho 0.625 0.750 0.375
Ho 0.750 0.375 0.625
Ho 0.875 0.250 0.125
Sb 0.000 0.180 0.500
Sb 0.000 0.680 0.500
Sb 0.180 0.500 0.000
Sb 0.320 0.320 0.320
Sb 0.500 0.000 0.180
Sb 0.500 0.000 0.680
Sb 0.680 0.500 0.000
Sb 0.820 0.820 0.820
Au 0.125 0.750 0.875
Au 0.250 0.625 0.375
Au 0.375 0.250 0.625
Au 0.625 0.375 0.250
Au 0.750 0.875 0.125
Au 0.875 0.125 0.750

First-principles (meta-GGA SCAN) data for Ho5SbAu2 at its PBEsol-relaxed geometry, as listed in Alexandria via LeMat-Bulk.

Summary:
Volume: 200 Å³/f.u.
Formation energy from raw total energies: -0.961 eV per atom
DFT total energy: -53.5255 eV per atom

Lattice parameters (Å, degrees): 8.486 8.486 8.486 124.44 124.44 82.47
Fractional coordinates of all 16 atoms:
Ho 0.000 0.000 0.000
Ho 0.013 0.513 0.812
Ho 0.201 0.013 0.500
Ho 0.299 0.799 0.812
Ho 0.487 0.299 0.500
Ho 0.500 0.500 0.000
Ho 0.513 0.701 0.500
Ho 0.701 0.201 0.188
Ho 0.799 0.987 0.500
Ho 0.987 0.487 0.188
Sb 0.250 0.250 0.000
Sb 0.750 0.750 0.000
Au 0.136 0.364 0.500
Au 0.364 0.864 0.228
Au 0.636 0.136 0.772
Au 0.864 0.636 0.500

First-principles (meta-GGA SCAN) data for HoSnAu at its PBEsol-relaxed geometry, as listed in Alexandria via LeMat-Bulk.

Summary:
Volume: 72 Å³/f.u.
DFT total energy: -52.4754 eV per atom

Lattice parameters (Å, degrees): 6.599 6.599 6.599 90.00 90.00 90.00
Fractional coordinates of all 12 atoms:
Ho 0.000 0.000 0.000
Ho 0.000 0.500 0.500
Ho 0.500 0.000 0.500
Ho 0.500 0.500 0.000
Sn 0.000 0.000 0.500
Sn 0.000 0.500 0.000
Sn 0.500 0.000 0.000
Sn 0.500 0.500 0.500
Au 0.250 0.250 0.250
Au 0.250 0.750 0.750
Au 0.750 0.250 0.750
Au 0.750 0.750 0.250

First-principles (meta-GGA SCAN) data for HoSnAu at its PBEsol-relaxed geometry, as listed in Alexandria via LeMat-Bulk.

Summary:
Volume: 67 Å³/f.u.
DFT total energy: -52.3839 eV per atom

Lattice parameters (Å, degrees): 4.619 4.619 7.280 90.00 90.00 120.00
Fractional coordinates of all 6 atoms:
Ho 0.000 0.000 0.000
Ho 0.000 0.000 0.500
Sn 0.333 0.667 0.227
Sn 0.667 0.333 0.727
Au 0.333 0.667 0.829
Au 0.667 0.333 0.329

First-principles (meta-GGA SCAN) data for Ho2ZnAu at its PBEsol-relaxed geometry, as listed in Alexandria via LeMat-Bulk.

Summary:
Volume: 86 Å³/f.u.
DFT total energy: -45.9469 eV per atom

Lattice parameters (Å, degrees): 7.015 7.015 7.015 90.00 90.00 90.00
Fractional coordinates of all 16 atoms:
Ho 0.250 0.250 0.250
Ho 0.250 0.250 0.750
Ho 0.250 0.750 0.250
Ho 0.250 0.750 0.750
Ho 0.750 0.250 0.250
Ho 0.750 0.250 0.750
Ho 0.750 0.750 0.250
Ho 0.750 0.750 0.750
Zn 0.000 0.000 0.000
Zn 0.000 0.500 0.500
Zn 0.500 0.000 0.500
Zn 0.500 0.500 0.000
Au 0.000 0.000 0.500
Au 0.000 0.500 0.000
Au 0.500 0.000 0.000
Au 0.500 0.500 0.500

First-principles (meta-GGA SCAN) data for In2Au2I at its PBEsol-relaxed geometry, as listed in Alexandria via LeMat-Bulk.

Summary:
Volume: 129 Å³/f.u.
Formation energy from raw total energies: -0.135 eV per atom
DFT total energy: -48.5010 eV per atom

Lattice parameters (Å, degrees): 4.826 4.826 11.039 90.00 90.00 90.00
Fractional coordinates of all 10 atoms:
In 0.000 0.500 0.250
In 0.000 0.500 0.750
In 0.500 0.000 0.250
In 0.500 0.000 0.750
Au 0.000 0.000 0.123
Au 0.000 0.000 0.877
Au 0.500 0.500 0.377
Au 0.500 0.500 0.623
I 0.000 0.000 0.500
I 0.500 0.500 0.000

First-principles (meta-GGA SCAN) data for InIrAu2I at its PBEsol-relaxed geometry, as listed in Alexandria via LeMat-Bulk.

Summary:
Volume: 145 Å³/f.u.
Formation energy from raw total energies: 1.477 eV per atom
DFT total energy: -54.4314 eV per atom

Lattice parameters (Å, degrees): 4.950 4.950 5.923 90.00 90.00 90.00
Fractional coordinates of all 5 atoms:
In 0.000 0.000 0.000
Ir 0.500 0.500 0.500
Au 0.000 0.500 0.000
Au 0.500 0.000 0.000
I 0.000 0.000 0.500

First-principles (meta-GGA SCAN) data for InAuIO2 at its PBEsol-relaxed geometry, as listed in Alexandria via LeMat-Bulk.

Summary:
Volume: 96 Å³/f.u.
Formation energy from raw total energies: 0.311 eV per atom
DFT total energy: -30.0382 eV per atom

Lattice parameters (Å, degrees): 4.236 4.236 5.372 90.00 90.00 90.00
Fractional coordinates of all 5 atoms:
In 0.000 0.000 0.000
Au 0.500 0.500 0.500
I 0.500 0.500 0.000
O 0.000 0.500 0.500
O 0.500 0.000 0.500

First-principles (meta-GGA SCAN) data for InAuIO2 at its PBEsol-relaxed geometry, as listed in Alexandria via LeMat-Bulk.

Summary:
Volume: 107 Å³/f.u.
Formation energy from raw total energies: -0.215 eV per atom
DFT total energy: -30.5640 eV per atom

Lattice parameters (Å, degrees): 4.011 4.011 6.637 90.00 90.00 90.00
Fractional coordinates of all 5 atoms:
In 0.000 0.000 0.000
Au 0.500 0.500 0.500
I 0.000 0.000 0.500
O 0.000 0.500 0.000
O 0.500 0.000 0.000

First-principles (meta-GGA SCAN) data for Sc2InAuI at its PBEsol-relaxed geometry, as listed in Alexandria via LeMat-Bulk.

Summary:
Volume: 147 Å³/f.u.
Formation energy from raw total energies: 0.138 eV per atom
DFT total energy: -33.4135 eV per atom

Lattice parameters (Å, degrees): 5.422 5.422 5.002 90.00 90.00 90.00
Fractional coordinates of all 5 atoms:
Sc 0.000 0.500 0.000
Sc 0.500 0.000 0.000
In 0.000 0.000 0.000
Au 0.000 0.000 0.500
I 0.500 0.500 0.500

First-principles (meta-GGA SCAN) data for IrAuI2 at its PBEsol-relaxed geometry, as listed in Alexandria via LeMat-Bulk.

Summary:
Volume: 86 Å³/f.u.
Formation energy from raw total energies: 1.289 eV per atom
DFT total energy: -52.1455 eV per atom

Lattice parameters (Å, degrees): 6.997 6.997 6.997 90.00 90.00 90.00
Fractional coordinates of all 16 atoms:
Ir 0.000 0.000 0.000
Ir 0.000 0.500 0.500
Ir 0.500 0.000 0.500
Ir 0.500 0.500 0.000
Au 0.000 0.000 0.500
Au 0.000 0.500 0.000
Au 0.500 0.000 0.000
Au 0.500 0.500 0.500
I 0.250 0.250 0.250
I 0.250 0.250 0.750
I 0.250 0.750 0.250
I 0.250 0.750 0.750
I 0.750 0.250 0.250
I 0.750 0.250 0.750
I 0.750 0.750 0.250
I 0.750 0.750 0.750